# 1
# Al2Te2Cl7 | the Alexandria database | PBE-GGA | relaxed
# magnetic moment: 0.00 μB per cell
# formation energy from raw total energies: -1.1914 eV per atom
# calculated volume: 35.238 Å³ per atom
data_Al2Te2Cl7
_cell_length_a 9.797
_cell_length_b 11.675
_cell_length_c 13.618
_cell_angle_alpha 90.00
_cell_angle_beta 95.50
_cell_angle_gamma 90.00
_space_group_name_H-M_alt 'P 1 21/c 1'
_space_group_IT_number 14
_space_group_name_Hall '-P 2ybc'
loop_
_atom_site_label
_atom_site_fract_x
_atom_site_fract_y
_atom_site_fract_z
Al1 0.112 0.174 0.196
Al2 0.262 0.584 0.342
Te1 0.331 0.566 0.942
Te2 0.432 0.150 0.462
Cl1 0.031 0.171 0.634
Cl2 0.039 0.531 0.356
Cl3 0.122 0.163 0.356
Cl4 0.266 0.710 0.229
Cl5 0.299 0.122 0.144
Cl6 0.324 0.656 0.485
Cl7 0.363 0.071 0.813



# 2
# AlTeCl2 | the Alexandria database | PBE-GGA | relaxed
# magnetic moment: 1.39 μB per cell
# formation energy from raw total energies: -0.3872 eV per atom
# calculated volume: 27.709 Å³ per atom
data_AlTeCl2
_cell_length_a 3.192
_cell_length_b 6.217
_cell_length_c 11.171
_cell_angle_alpha 90.00
_cell_angle_beta 90.00
_cell_angle_gamma 90.00
_space_group_name_H-M_alt 'C m m m'
_space_group_IT_number 65
_space_group_name_Hall '-C 2 2'
loop_
_atom_site_label
_atom_site_fract_x
_atom_site_fract_y
_atom_site_fract_z
Al1 0.000 0.000 0.000
Te1 0.000 0.000 0.500
Cl1 0.000 0.500 0.154



| no. | DFT total energy (eV for the cell shown) |
| --- | --- |
| 1 | -159.20 |
| 2 | -24.25 |